P) Compound: Fe2WAu
Source: the Alexandria database
Functional: GGA-PBE
Structure: relaxed

```
Fe2WAu
1.0
2.864 0.000 0.000
0.000 2.864 0.000
0.000 0.000 6.952
Fe W Au
2 1 1
direct
0.000 0.000 0.000
0.500 0.500 0.197
0.000 0.000 0.428
0.500 0.500 0.733
```

Calculated values
The value obtained for the volume is 57.0 Å³/f.u. Its symmetry is P4mm, No. 99.


Q) Compound: Fe2WAu
Source: the Alexandria database
Functional: GGA-PBE
Structure: relaxed

```
Fe2WAu
1.0
0.000 3.002 3.002
3.002 0.000 3.002
3.002 3.002 0.000
Fe W Au
2 1 1
direct
0.250 0.250 0.250
0.750 0.750 0.750
0.000 0.000 0.000
0.500 0.500 0.500
```

Calculated values
The value obtained for the volume is 54.1 Å³/f.u. Its symmetry is Fm-3m, No. 225.


R) Compound: Fe2WAu
Source: the Alexandria database
Functional: GGA-PBE
Structure: relaxed

```
Fe2WAu
1.0
2.707 0.000 0.000
0.000 3.943 0.000
-0.676 0.000 5.378
Fe W Au
2 1 1
direct
0.000 0.000 0.000
0.413 0.500 0.218
0.865 0.000 0.439
0.446 0.500 0.733
```

Calculated values
The value obtained for the volume is 57.4 Å³/f.u. Its symmetry is Pm, No. 6.


S) Compound: Fe2WAu
Source: the Alexandria database
Functional: GGA-PBE
Structure: relaxed

```
Fe2WAu
1.0
2.768 -3.687 0.000
2.768 3.687 0.000
0.000 0.000 2.780
Fe W Au
2 1 1
direct
0.000 0.500 0.000
0.500 0.000 0.000
0.000 0.000 0.500
0.500 0.500 0.500
```

Calculated values
The value obtained for the volume is 56.7 Å³/f.u. Its symmetry is Cmmm, No. 65.


How far above the most stable structure does each one sit? In meV/atom: P) 0; Q) 162; R) 58; S) 114.